The following is a PBE calculation of an optimized crystal structure of RbGa3Te, from the Alexandria database.

Output
Space group: Pm-3m (221)
Total magnetic moment in μB/f.u.: 0.000
Energy relative to the lowest polymorph listed for this composition in meV per atom: 0.0

a b c (Å): 5.8222 5.8222 5.8222
angles (deg): 90.00 90.00 90.00
Atoms (fractional coordinates):
Te (0.0000, 0.0000, 0.0000)
Ga (0.0000, 0.5000, 0.0000)
Ga (0.0000, 0.0000, 0.5000)
Ga (0.5000, 0.0000, 0.0000)
Rb (0.5000, 0.5000, 0.5000)